Computed, not measured: an optimized crystal structure of Tm3In3Pt2Au at the PBE level of DFT.

Lattice parameters (Å, degrees): 7.738 7.738 3.757 90.00 90.00 120.00
Positions (direct):
Tm 0.000 0.593 0.000
Tm 0.407 0.407 0.000
Tm 0.593 0.000 0.000
In 0.000 0.270 0.500
In 0.270 0.000 0.500
In 0.730 0.730 0.500
Pt 0.333 0.667 0.500
Pt 0.667 0.333 0.500
Au 0.000 0.000 0.000

Its raw total energy is -5.02 eV per atom. The calculated volume comes out at 195 Å³/f.u. Its symmetry is P-62m, No. 189.